Compound: TlWF6
Source: Alexandria via LeMat-Bulk
Functional: PBE with a Hubbard U
Structure: optimized geometry

Computed properties:
The energy above the lowest structure with this stoichiometry comes out at 0 meV/atom.

abc: 5.2769 5.2769 5.4377
angles: 81.98 81.98 94.11
Sites, in units of the cell vectors:
F1 0.7398 0.0949 0.2554
F2 0.9051 0.2602 0.7446
F3 0.2452 0.2452 0.0866
W1 0.0000 0.0000 0.0000
F4 0.7548 0.7548 0.9134
Tl1 0.5000 0.5000 0.5000
F5 0.2602 0.9051 0.7446
F6 0.0949 0.7398 0.2554